Material: Th2Zn2InPd5
Method: DFT, PBE-GGA
State: optimized geometry

Structure (POSCAR):
```
Th2Zn2InPd5
1.0
10.133 0.000 0.000
0.000 10.133 0.000
0.000 0.000 3.717
Th Zn In Pd
4 4 2 10
direct
0.178 0.322 0.000
0.322 0.822 0.000
0.678 0.178 0.000
0.822 0.678 0.000
0.120 0.620 0.000
0.380 0.120 0.000
0.620 0.880 0.000
0.880 0.380 0.000
0.000 0.000 0.000
0.500 0.500 0.000
0.000 0.500 0.500
0.061 0.792 0.500
0.208 0.061 0.500
0.292 0.561 0.500
0.439 0.292 0.500
0.500 0.000 0.500
0.561 0.708 0.500
0.708 0.439 0.500
0.792 0.939 0.500
0.939 0.208 0.500
```

- Space-group type: P4/mbm, No. 127
- Raw total energy: -5.205 eV per atom